# 1
A plane-wave DFT calculation with SCAN was carried out for a crystal of CaMg relaxed with PBEsol.

Computed properties:
Its calculated total energy is -58.89 eV per cell. The calculation puts the formation energy at -0.042 eV per atom.

The structure in POSCAR format:
```
CaMg
1.0
3.813 0.000 0.000
0.000 5.654 0.000
0.000 0.000 11.335
Ca Mg
4 4
Cartesian
0.000 1.413 1.215
0.000 4.240 10.120
1.906 1.413 4.452
1.906 4.240 6.883
0.000 1.413 7.318
0.000 4.240 4.017
1.906 1.413 9.684
1.906 4.240 1.651
```



# 2
A plane-wave DFT calculation with SCAN was carried out for a crystal of AlZn2Cu relaxed with PBEsol.

Computed properties:
Its calculated total energy is -50.31 eV per cell. The calculation puts the formation energy at -0.083 eV per atom.

The structure in POSCAR format:
```
AlZn2Cu
1.0
2.692 0.000 0.000
0.000 4.301 0.000
0.000 0.000 4.663
Al Zn Cu
1 2 1
Cartesian
0.000 0.000 0.000
0.000 2.150 1.636
1.346 0.000 2.373
1.346 2.150 3.961
```



# 3
A plane-wave DFT calculation with SCAN was carried out for a crystal of AsS2I relaxed with PBEsol.

Computed properties:
Its calculated total energy is -298.63 eV per cell. The calculation puts the uncorrected formation energy at 383 meV/atom.

The structure in POSCAR format:
```
AsS2I
1.0
7.125 0.000 0.000
0.000 7.125 0.000
0.000 0.000 7.640
As S I
4 8 4
Cartesian
0.000 0.000 0.000
0.000 3.562 1.910
3.562 0.000 5.730
3.562 3.562 3.820
1.312 5.344 0.955
1.781 1.312 6.685
1.781 2.251 2.865
2.251 5.344 4.775
4.874 1.781 4.775
5.344 4.874 2.865
5.344 5.813 6.685
5.813 1.781 0.955
0.000 0.000 3.820
0.000 3.562 5.730
3.562 0.000 1.910
3.562 3.562 0.000
```



# 4
A plane-wave DFT calculation with SCAN was carried out for a crystal of K2GaAu2 relaxed with PBEsol.

Computed properties:
Its calculated total energy is -345.59 eV per cell. The calculation puts the formation energy at -0.296 eV per atom.

The structure in POSCAR format:
```
K2GaAu2
1.0
6.864 0.000 0.000
0.000 6.864 0.000
0.000 0.000 5.390
K Ga Au
4 2 4
Cartesian
1.174 2.258 0.000
2.258 5.690 0.000
4.607 1.174 0.000
5.690 4.607 0.000
0.000 0.000 2.695
3.432 3.432 2.695
0.992 4.424 2.695
2.440 0.992 2.695
4.424 5.872 2.695
5.872 2.440 2.695
```



# 5
A plane-wave DFT calculation with SCAN was carried out for a crystal of MgSb2Cl relaxed with PBEsol.

Computed properties:
Its calculated total energy is -179.37 eV per cell. The value obtained for the energy above the most stable polymorph in this dataset is 0.00 eV/f.u. The calculation puts the uncorrected formation energy at -553 meV/atom.

The structure in POSCAR format:
```
MgSb2Cl
1.0
9.485 0.000 0.000
0.000 3.353 0.000
-2.437 0.000 6.413
Mg Sb Cl
2 4 2
Cartesian
0.000 0.000 0.000
4.742 1.677 0.000
0.678 1.677 2.512
2.921 0.000 3.882
5.420 0.000 2.512
7.664 1.677 3.882
0.446 0.000 6.330
5.188 1.677 6.330
```



# 6
A plane-wave DFT calculation with SCAN was carried out for a crystal of FeReSi2 relaxed with PBEsol.

Computed properties:
Its calculated total energy is -109.14 eV per cell. The calculation puts the uncorrected formation energy at 31 meV/atom.

The structure in POSCAR format:
```
FeReSi2
1.0
3.020 0.000 0.000
0.000 3.743 0.000
0.000 0.000 4.421
Fe Re Si
1 1 2
Cartesian
0.000 0.000 0.000
1.510 0.000 2.210
0.000 1.872 2.210
1.510 1.872 0.000
```



# 7
A plane-wave DFT calculation with SCAN was carried out for a crystal of BeH2SeO4 relaxed with PBEsol.

Computed properties:
Its calculated total energy is -272.71 eV per cell.

The structure in POSCAR format:
```
BeH2SeO4
1.0
5.496 0.000 0.000
0.000 7.440 0.000
0.000 0.000 7.804
Be H Se O
4 8 4 16
Cartesian
0.632 1.821 1.780
2.116 5.619 5.682
3.380 1.899 6.023
4.864 5.541 2.121
0.687 4.361 4.320
1.243 4.096 1.415
1.505 3.344 5.317
2.061 3.079 0.418
3.435 6.799 3.484
3.991 7.064 6.389
4.253 0.376 2.487
4.809 0.641 7.386
1.096 0.629 4.480
1.652 6.811 0.578
3.844 3.091 3.323
4.400 4.349 7.225
0.501 0.667 0.626
0.925 5.697 1.681
1.140 6.129 6.890
1.292 3.142 1.086
1.456 4.298 4.988
1.608 1.311 2.988
1.823 1.742 5.583
2.247 6.773 4.528
3.249 3.053 7.178
3.673 5.462 6.123
3.888 5.030 0.914
4.040 0.578 6.718
4.205 6.862 2.816
4.356 2.409 4.815
4.571 1.978 2.221
4.995 4.387 3.276
```



# 8
A plane-wave DFT calculation with SCAN was carried out for a crystal of TaHgRh2 relaxed with PBEsol.

Computed properties:
Its calculated total energy is -609.24 eV per cell. The calculation puts the formation energy at -0.197 eV per atom.

The structure in POSCAR format:
```
TaHgRh2
1.0
3.089 0.000 0.000
-1.545 2.675 0.000
0.000 0.000 24.693
Ta Hg Rh
3 3 6
Cartesian
0.000 0.000 0.000
0.000 1.784 16.462
1.545 0.892 8.231
0.000 0.000 12.346
0.000 1.784 4.115
1.545 0.892 20.577
0.000 0.000 6.387
0.000 0.000 18.306
0.000 1.784 10.075
0.000 1.784 22.849
1.545 0.892 1.844
1.545 0.892 14.618
```



# 9
A plane-wave DFT calculation with SCAN was carried out for a crystal of Na2LiV5H18O23 relaxed with PBEsol.

Computed properties:
Its calculated total energy is -774.86 eV per cell.

The structure in POSCAR format:
```
Na2LiV5H18O23
1.0
8.546 0.000 0.000
-1.461 10.210 0.000
-2.282 -3.685 11.148
Na Li V H O
4 2 10 36 46
Cartesian
-1.022 1.412 3.428
-0.528 6.807 5.815
5.331 -0.281 5.333
5.825 5.114 7.721
-0.425 1.837 0.733
5.228 4.688 10.415
-0.362 0.952 8.145
1.929 5.312 0.024
0.942 -1.065 10.154
2.086 5.989 2.988
3.257 3.286 1.984
1.546 3.239 9.164
2.717 0.537 8.160
3.861 7.590 0.994
2.874 1.214 11.124
5.165 5.573 3.003
-2.632 2.531 9.319
-1.930 -1.147 9.548
-0.392 -1.013 4.392
-0.774 -2.106 7.754
0.661 -0.468 1.588
-0.271 7.335 1.375
-0.658 3.989 5.632
0.390 3.735 2.295
-0.390 3.978 7.136
1.553 0.832 1.863
-1.188 6.086 10.163
-0.814 4.543 10.179
1.111 -0.525 5.855
0.999 2.129 5.540
1.194 3.091 4.282
1.941 -0.923 4.560
3.317 0.297 3.285
2.157 8.949 3.176
2.647 -2.424 7.972
1.487 6.228 7.863
2.862 7.448 6.588
3.609 3.435 6.866
3.804 4.396 5.608
3.692 7.051 5.293
5.617 1.983 0.969
5.991 0.439 0.985
3.251 5.694 9.285
5.193 2.548 4.012
4.414 2.790 8.853
5.461 2.536 5.516
5.075 -0.810 9.773
4.142 6.993 9.560
5.577 8.632 3.394
5.195 7.538 6.756
6.734 7.672 1.601
7.435 3.995 1.830
-1.531 0.865 7.061
-2.421 7.371 7.119
-0.963 8.021 1.201
-0.451 3.281 2.036
0.627 0.523 1.687
-1.328 1.527 9.764
-0.822 4.538 6.434
-1.518 5.185 9.888
-0.396 -0.729 8.921
0.528 2.575 4.807
0.964 5.861 1.310
1.100 -1.140 5.074
0.192 2.767 8.130
2.049 3.505 0.392
0.970 6.407 4.052
0.686 -2.607 10.530
1.166 0.561 7.200
1.981 4.127 2.993
0.335 3.402 10.717
2.999 1.716 2.333
1.267 1.133 9.881
2.571 7.638 2.228
1.396 7.056 7.321
3.407 -0.530 3.828
2.233 -1.113 8.920
3.536 5.393 1.268
1.804 4.809 8.816
4.469 3.124 0.431
2.823 2.398 8.155
3.637 5.964 3.949
4.117 9.133 0.618
3.833 0.118 7.096
2.754 3.021 10.757
4.612 3.758 3.018
3.703 7.665 6.074
3.840 0.665 9.838
4.276 3.950 6.342
5.200 7.254 2.227
6.321 1.340 1.261
5.625 1.987 4.714
6.131 4.999 1.384
4.176 6.003 9.461
5.254 3.244 9.112
5.766 -1.496 9.948
7.224 -0.845 4.029
6.335 5.660 4.087
```



# 10
A plane-wave DFT calculation with SCAN was carried out for a crystal of Ca2OsBr relaxed with PBEsol.

Computed properties:
Its calculated total energy is -109.30 eV per cell. The value obtained for the energy above the most stable polymorph in this dataset is 3.16 eV/f.u. The calculation puts the uncorrected formation energy at 341 meV/atom.

The structure in POSCAR format:
```
Ca2OsBr
1.0
3.303 0.000 0.000
0.000 3.303 0.000
0.000 0.000 9.392
Ca Os Br
2 1 1
Cartesian
0.000 0.000 0.000
1.652 1.652 3.424
0.000 0.000 5.216
1.652 1.652 7.735
```



# 11
A plane-wave DFT calculation with SCAN was carried out for a crystal of AlZnCd2 relaxed with PBEsol.

Computed properties:
Its calculated total energy is -245.34 eV per cell. The value obtained for the energy above the most stable polymorph in this dataset is 0.00 eV/f.u. The calculation puts the formation energy at 0.079 eV per atom.

The structure in POSCAR format:
```
AlZnCd2
1.0
2.874 0.000 0.000
-1.437 2.489 0.000
0.000 0.000 30.778
Al Zn Cd
3 3 6
Cartesian
0.000 0.000 0.000
0.000 1.659 20.519
1.437 0.830 10.259
0.000 0.000 8.026
0.000 1.659 28.545
1.437 0.830 18.286
0.000 0.000 15.786
0.000 0.000 23.170
0.000 1.659 5.526
0.000 1.659 12.911
1.437 0.830 2.651
1.437 0.830 26.045
```



# 12
A plane-wave DFT calculation with SCAN was carried out for a crystal of LiCaAs2Se relaxed with PBEsol.

Computed properties:
Its calculated total energy is -74.15 eV per cell. The calculation puts the uncorrected formation energy at -327 meV/atom.

The structure in POSCAR format:
```
LiCaAs2Se
1.0
4.555 0.000 0.000
0.000 4.555 0.000
0.000 0.000 4.931
Li Ca As Se
1 1 2 1
Cartesian
0.000 0.000 0.000
2.278 2.278 2.465
0.000 2.278 0.000
2.278 0.000 0.000
0.000 0.000 2.465
```



no.,total magnetic moment (μB/atom)
1,0.00
2,0.00
3,0.00
4,0.00
5,0.00
6,0.48
7,0.00
8,0.00
9,0.00
10,0.43
11,0.00
12,0.00